Record 1
Density functional theory data (PBE-GGA) for a relaxed BaBiAs2Br crystal.

As for the energy above the most stable polymorph in this dataset: 1.233 eV per atom. The calculation puts the total moment at 2.79 μB per cell. For the density of states at the Fermi level, the calculation gives 4.81 states/eV per cell. The uncorrected formation energy comes out at 0.908 eV/atom.

The space group is P4/mmm (No. 123) and the conventional cell measures 6.324, 6.324 and 6.921 Å, with angles of 90.00, 90.00 and 90.00 degrees. The distinct sites, in fractional coordinates, are Ba at (0.000, 0.000, 0.000), Bi at (0.000, 0.000, 0.500), As at (0.000, 0.500, 0.000) and Br at (0.500, 0.500, 0.500).

Record 2
Density functional theory data (PBE-GGA) for a relaxed Ba6BiAs2Br3 crystal.

The calculation puts the total moment at 0.00 μB per cell. The uncorrected formation energy comes out at -1.536 eV/atom.

The space group is C2/m (No. 12) and the conventional cell measures 21.376, 4.892 and 9.810 Å, with angles of 90.00, 103.11 and 90.00 degrees. The distinct sites, in fractional coordinates, are Ba at (0.010, 0.000, 0.249), Ba at (0.166, 0.500, 0.111), Ba at (0.175, 0.500, 0.566), Bi at (0.000, 0.500, 0.000), As at (0.168, 0.000, 0.338), Br at (0.000, 0.500, 0.500) and Br at (0.167, 0.000, 0.833).

Record 3
Density functional theory data (PBE-GGA) for a relaxed BaBiAs2Br crystal.

As for the energy above the most stable polymorph in this dataset: 0.000 eV per atom. The calculation puts the total moment at 0.00 μB per cell. For the density of states at the Fermi level, the calculation gives 2.74 states/eV per cell. The uncorrected formation energy comes out at -0.325 eV/atom.

The space group is P4/mmm (No. 123) and the conventional cell measures 5.465, 5.465 and 5.891 Å, with angles of 90.00, 90.00 and 90.00 degrees. The distinct sites, in fractional coordinates, are Ba at (0.000, 0.000, 0.000), Bi at (0.500, 0.500, 0.500), As at (0.000, 0.500, 0.500) and Br at (0.500, 0.500, 0.000).

Record 4
Density functional theory data (PBE-GGA) for a relaxed Ba5Bi2AsBr crystal.

The calculation puts the total moment at 0.00 μB per cell. For the density of states at the Fermi level, the calculation gives 1.53 states/eV per cell. The uncorrected formation energy comes out at -1.018 eV/atom.

The space group is Immm (No. 71) and the conventional cell measures 6.047, 8.659 and 17.733 Å, with angles of 90.00, 90.00 and 90.00 degrees. The distinct sites, in fractional coordinates, are Ba at (0.000, 0.000, 0.000), Ba at (0.000, 0.269, 0.353), Bi at (0.000, 0.000, 0.202), As at (0.000, 0.500, 0.500) and Br at (0.000, 0.500, 0.000).

Record 5
Density functional theory data (PBE-GGA) for a relaxed Ba4BiAsBr2 crystal.

The calculation puts the total moment at 0.00 μB per cell. The uncorrected formation energy comes out at -1.502 eV/atom.

The space group is P2/m (No. 10) and the conventional cell measures 8.490, 4.937 and 8.602 Å, with angles of 90.00, 109.76 and 90.00 degrees. The distinct sites, in fractional coordinates, are Ba at (0.222, 0.000, 0.230), Ba at (0.227, 0.500, 0.756), Bi at (0.000, 0.000, 0.500), As at (0.000, 0.500, 0.000), Br at (0.500, 0.000, 0.000) and Br at (0.500, 0.500, 0.500).

Record 6
Density functional theory data (PBE-GGA) for a relaxed Ba2CdBiAs crystal.

Its formation energy is -19.1 kcal/mol of atoms. The calculation puts the total moment at 0.00 μB per cell. For the density of states at the Fermi level, the calculation gives 0.20 states/eV per cell.

The space group is P2_1/m (No. 11) and the conventional cell measures 8.315, 4.849 and 10.143 Å, with angles of 90.00, 106.28 and 90.00 degrees. The distinct sites, in fractional coordinates, are Ba at (0.182, 0.250, 0.394), Ba at (0.228, 0.250, 0.971), Cd at (0.486, 0.750, 0.268), Bi at (0.303, 0.750, 0.696) and As at (0.162, 0.750, 0.174).

Record 7
Density functional theory data (PBE-GGA) for a relaxed Ba5Bi2AsCl crystal.

The calculation puts the total moment at 0.00 μB per cell. For the density of states at the Fermi level, the calculation gives 0.83 states/eV per cell. The uncorrected formation energy comes out at -1.207 eV/atom.

The space group is Cmc2_1 (No. 36) and the conventional cell measures 5.060, 20.650 and 14.926 Å, with angles of 90.00, 90.00 and 90.00 degrees. The distinct sites, in fractional coordinates, are Ba at (0.000, 0.001, 0.000), Ba at (0.000, 0.135, 0.223), Ba at (0.000, 0.196, 0.590), Ba at (0.000, 0.223, 0.884), Ba at (0.000, 0.437, 0.295), Bi at (0.000, 0.370, 0.522), Bi at (0.000, 0.396, 0.907), As at (0.000, 0.291, 0.230) and Cl at (0.000, 0.030, 0.697).

Record 8
Density functional theory data (PBE-GGA) for a relaxed Ba2Ga2Bi2As crystal.

Its formation energy is -12.5 kcal/mol of atoms. The calculation puts the total moment at 0.00 μB per cell. For the density of states at the Fermi level, the calculation gives 2.63 states/eV per cell.

The space group is C2/m (No. 12) and the conventional cell measures 12.968, 4.361 and 8.571 Å, with angles of 90.00, 110.28 and 90.00 degrees. The distinct sites, in fractional coordinates, are Ba at (0.003, 0.000, 0.231), Ga at (0.210, 0.500, 0.595), Bi at (0.217, 0.500, 0.123) and As at (0.000, 0.500, 0.500).